# AlNiP2O

A geometry-optimized AlNiP2O structure (PBE with a Hubbard U, Alexandria via LeMat-Bulk).

POSCAR file:
```
AlNiP2O
1.0
4.947 0.000 0.000
0.000 4.947 0.000
0.000 0.000 3.314
Al Ni P O
1 1 2 1
Cartesian
0.000 0.000 0.000
2.473 2.473 1.657
0.000 2.473 0.000
2.473 0.000 0.000
0.000 0.000 1.657
```

Computed properties:
SG: P4/mmm (123)
polymorph energy (0 for the lowest one): 0 meV per atom
electronic total energy: -4.306 eV/atom